Entry 1:
VASP calculation (SCAN) on a crystal of Zn2NiPtCl relaxed with PBEsol. Values from VASP.

The structure in Quantum ESPRESSO input format:
```
&SYSTEM
  ibrav = 0, nat = 5, ntyp = 4
/
ATOMIC_SPECIES
Zn 65.41 Zn.upf
Ni 58.69 Ni.upf
Pt 195.08 Pt.upf
Cl 35.45 Cl.upf
ATOMIC_POSITIONS angstrom
Zn 0.000 2.320 0.000
Zn 2.320 0.000 0.000
Ni 0.000 0.000 0.000
Pt 2.320 2.320 1.997
Cl 0.000 0.000 1.997
CELL_PARAMETERS angstrom
4.641 0.000 0.000
0.000 4.641 0.000
0.000 0.000 3.995
```

Values from the calculation:
**Energy**: -118.6 eV/f.u.
**Space-group type**: P4/mmm, No. 123



Entry 2:
VASP calculation (SCAN) on a crystal of HfMg2PtRh relaxed with PBEsol. Values from VASP.

The structure in Quantum ESPRESSO input format:
```
&SYSTEM
  ibrav = 0, nat = 5, ntyp = 4
/
ATOMIC_SPECIES
Hf 178.49 Hf.upf
Mg 24.30 Mg.upf
Pt 195.08 Pt.upf
Rh 102.91 Rh.upf
ATOMIC_POSITIONS angstrom
Hf 0.000 0.000 0.000
Mg 0.000 2.355 2.491
Mg 2.355 0.000 2.491
Pt 0.000 0.000 2.491
Rh 2.355 2.355 0.000
CELL_PARAMETERS angstrom
4.709 0.000 0.000
0.000 4.709 0.000
0.000 0.000 4.982
```

Values from the calculation:
**Energy**: -176.1 eV/f.u.
**Formation enthalpy at 0 K**: 0.100 eV/atom
**Space-group type**: P4/mmm, No. 123



Entry 3:
VASP calculation (SCAN) on a crystal of Cd3Ag2 relaxed with PBEsol. Values from VASP.

The structure in Quantum ESPRESSO input format:
```
&SYSTEM
  ibrav = 0, nat = 5, ntyp = 2
/
ATOMIC_SPECIES
Cd 112.41 Cd.upf
Ag 107.87 Ag.upf
ATOMIC_POSITIONS angstrom
Cd 0.000 0.000 0.000
Cd 0.000 0.000 3.783
Cd 0.000 0.000 15.540
Ag 0.000 0.000 7.773
Ag 0.000 0.000 11.551
CELL_PARAMETERS angstrom
-1.546 1.546 9.662
1.546 -1.546 9.662
1.546 1.546 -9.662
```

Values from the calculation:
**Energy**: -154.2 eV/f.u.
**Formation enthalpy at 0 K**: -0.045 eV/atom
**Space-group type**: I4/mmm, No. 139



Entry 4:
VASP calculation (SCAN) on a crystal of ZnMo2Os relaxed with PBEsol. Values from VASP.

The structure in Quantum ESPRESSO input format:
```
&SYSTEM
  ibrav = 0, nat = 4, ntyp = 3
/
ATOMIC_SPECIES
Zn 65.41 Zn.upf
Mo 95.94 Mo.upf
Os 190.23 Os.upf
ATOMIC_POSITIONS angstrom
Zn 0.000 0.000 0.000
Mo 1.536 1.536 1.536
Mo 3.072 3.072 3.072
Os 4.609 4.609 4.609
CELL_PARAMETERS angstrom
0.000 3.072 3.072
3.072 0.000 3.072
3.072 3.072 0.000
```

Values from the calculation:
**Energy**: -154.5 eV/f.u.
**Formation enthalpy at 0 K**: 0.156 eV/atom
**Space-group type**: F-43m, No. 216